Record 1
DFT (GGA-PBEsol) results for a relaxed structure of LaCd2Re.

Structure (extended XYZ):
```
4
Lattice="0.000 3.497 3.497 3.497 0.000 3.497 3.497 3.497 0.000" Properties=species:S:1:pos:R:3 pbc="T T T"
La 0.000 0.000 0.000
Cd 1.749 1.749 1.749
Cd 5.246 5.246 5.246
Re 3.497 3.497 3.497
```

offset from the most stable computed form	154.0	meV/atom
DOS(E_F)	1.18	states/eV per atom
crystal system	cubic
total magnetization	0.0	μB/f.u.
density	10.67	Mg/m³
formation energy	0.530	eV/atom



Record 2
DFT (GGA-PBEsol) results for a relaxed structure of LaCdRe.

Structure (extended XYZ):
```
3
Lattice="5.102 0.000 0.000 -2.551 4.418 0.000 0.000 0.000 2.814" Properties=species:S:1:pos:R:3 pbc="T T T"
La 0.000 0.000 0.000
Cd 2.551 1.473 1.402
Re 0.000 2.945 1.412
```

offset from the most stable computed form	0.0	meV/atom
DOS(E_F)	1.34	states/eV per atom
crystal system	trigonal
total magnetization	0.0	μB/f.u.
density	11.45	Mg/m³
formation energy	0.537	eV/atom



Record 3
DFT (GGA-PBEsol) results for a relaxed structure of LaCd2Re.

Structure (extended XYZ):
```
4
Lattice="-2.298 2.298 4.030 2.298 -2.298 4.030 2.298 2.298 -4.030" Properties=species:S:1:pos:R:3 pbc="T T T"
La 0.000 0.000 0.000
Cd 2.298 0.000 2.015
Cd 0.000 0.000 4.030
Re 0.000 2.298 2.015
```

offset from the most stable computed form	150.5	meV/atom
DOS(E_F)	0.77	states/eV per atom
crystal system	tetragonal
total magnetization	0.0	μB/f.u.
density	10.73	Mg/m³
formation energy	0.526	eV/atom



- What is the formula in the third record?
  LaCd2Re



- Which value of DOS(E_F) does entry 3 give?
  0.77 states/eV per atom